Record 1
Here is a crystal of Re2MoAs relaxed with PBEsol from the Alexandria database. Energies are from SCAN.

ρ = 15.538 Mg/m³
Formation enthalpy at 0 K = 0.170 eV per atom

a = 2.991 Å, b = 4.432 Å, c = 8.759 Å
α = 90.00°, β = 90.00°, γ = 90.00°
Positions (direct):
Re1 0.000 0.000 0.000
Re2 0.000 0.500 0.238
Re3 0.500 0.000 0.738
Re4 0.500 0.500 0.500
Mo1 0.000 0.500 0.778
Mo2 0.500 0.000 0.278
As1 0.000 0.000 0.509
As2 0.500 0.500 0.009


Record 2
Here is a crystal of ReMo2As relaxed with PBEsol from the Alexandria database. Energies are from SCAN.

ρ = 12.675 Mg/m³
Formation enthalpy at 0 K = 0.263 eV per atom

a = 6.192 Å, b = 6.192 Å, c = 6.192 Å
α = 90.00°, β = 90.00°, γ = 90.00°
Positions (direct):
Re1 0.000 0.000 0.000
Re2 0.000 0.500 0.500
Re3 0.500 0.000 0.500
Re4 0.500 0.500 0.000
Mo1 0.000 0.000 0.500
Mo2 0.000 0.500 0.000
Mo3 0.250 0.250 0.250
Mo4 0.250 0.750 0.750
Mo5 0.500 0.000 0.000
Mo6 0.500 0.500 0.500
Mo7 0.750 0.250 0.750
Mo8 0.750 0.750 0.250
As1 0.250 0.250 0.750
As2 0.250 0.750 0.250
As3 0.750 0.250 0.250
As4 0.750 0.750 0.750


Record 3
Here is a crystal of ReMoAs2Se relaxed with PBEsol from the Alexandria database. Energies are from SCAN.

Uncorrected formation energy = 1.109 eV/atom
ρ = 7.644 Mg/m³

a = 4.649 Å, b = 4.649 Å, c = 5.136 Å
α = 90.00°, β = 90.00°, γ = 90.00°
Positions (direct):
Re1 0.000 0.000 0.000
Mo1 0.500 0.500 0.500
As1 0.000 0.500 0.000
As2 0.500 0.000 0.000
Se1 0.000 0.000 0.500


Record 4
Here is a crystal of MoAs2Rh relaxed with PBEsol from the Alexandria database. Energies are from SCAN.

ρ = 9.916 Mg/m³
Formation enthalpy at 0 K = -0.141 eV per atom

a = 3.103 Å, b = 3.103 Å, c = 6.064 Å
α = 90.00°, β = 90.00°, γ = 90.00°
Positions (direct):
Mo1 0.000 0.000 0.000
As1 0.500 0.500 0.242
As2 0.500 0.500 0.758
Rh1 0.000 0.000 0.500


Record 5
Here is a crystal of MoAsRh relaxed with PBEsol from the Alexandria database. Energies are from SCAN.

ρ = 10.511 Mg/m³
Formation enthalpy at 0 K = -0.095 eV per atom

a = 2.977 Å, b = 2.977 Å, c = 9.757 Å
α = 90.00°, β = 90.00°, γ = 90.00°
Positions (direct):
Mo1 0.000 0.000 0.000
Mo2 0.500 0.500 0.500
As1 0.000 0.000 0.347
As2 0.500 0.500 0.847
Rh1 0.000 0.000 0.682
Rh2 0.500 0.500 0.182


Record 6
Here is a crystal of MoAsRh3 relaxed with PBEsol from the Alexandria database. Energies are from SCAN.

ρ = 8.242 Mg/m³
Formation enthalpy at 0 K = 1.250 eV per atom

a = 4.589 Å, b = 4.589 Å, c = 4.589 Å
α = 90.00°, β = 90.00°, γ = 90.00°
Positions (direct):
Mo1 0.000 0.000 0.000
As1 0.500 0.500 0.500
Rh1 0.000 0.000 0.500
Rh2 0.000 0.500 0.000
Rh3 0.500 0.000 0.000


Record 7
Here is a crystal of MoAsRh2 relaxed with PBEsol from the Alexandria database. Energies are from SCAN.

ρ = 11.018 Mg/m³
Formation enthalpy at 0 K = -0.072 eV per atom

a = 2.898 Å, b = 4.418 Å, c = 4.434 Å
α = 90.00°, β = 90.00°, γ = 90.00°
Positions (direct):
Mo1 0.000 0.000 0.000
As1 0.500 0.000 0.500
Rh1 0.000 0.500 0.500
Rh2 0.500 0.500 0.000


Record 8
Here is a crystal of MoAsRh2 relaxed with PBEsol from the Alexandria database. Energies are from SCAN.

ρ = 10.904 Mg/m³
Formation enthalpy at 0 K = -0.155 eV per atom

a = 2.822 Å, b = 2.822 Å, c = 7.203 Å
α = 90.00°, β = 90.00°, γ = 90.00°
Positions (direct):
Mo1 0.000 0.000 0.000
As1 0.000 0.000 0.500
Rh1 0.500 0.500 0.255
Rh2 0.500 0.500 0.745


Record 9
Here is a crystal of MoAsRh2 relaxed with PBEsol from the Alexandria database. Energies are from SCAN.

ρ = 10.932 Mg/m³
Formation enthalpy at 0 K = -0.176 eV per atom

a = 2.831 Å, b = 3.808 Å, c = 5.308 Å
α = 90.00°, β = 90.00°, γ = 90.00°
Positions (direct):
Mo1 0.000 0.000 0.000
As1 0.000 0.000 0.500
Rh1 0.500 0.500 0.245
Rh2 0.500 0.500 0.755


Record 10
Here is a crystal of MoAsRh2 relaxed with PBEsol from the Alexandria database. Energies are from SCAN.

ρ = 11.048 Mg/m³
Formation enthalpy at 0 K = -0.116 eV per atom

a = 6.095 Å, b = 6.095 Å, c = 6.095 Å
α = 90.00°, β = 90.00°, γ = 90.00°
Positions (direct):
Mo1 0.000 0.000 0.000
Mo2 0.000 0.500 0.500
Mo3 0.500 0.000 0.500
Mo4 0.500 0.500 0.000
As1 0.250 0.250 0.250
As2 0.250 0.750 0.750
As3 0.750 0.250 0.750
As4 0.750 0.750 0.250
Rh1 0.000 0.000 0.500
Rh2 0.000 0.500 0.000
Rh3 0.250 0.250 0.750
Rh4 0.250 0.750 0.250
Rh5 0.500 0.000 0.000
Rh6 0.500 0.500 0.500
Rh7 0.750 0.250 0.250
Rh8 0.750 0.750 0.750


Record 11
Here is a crystal of MoAs2Ru relaxed with PBEsol from the Alexandria database. Energies are from SCAN.

ρ = 8.325 Mg/m³
Formation enthalpy at 0 K = 0.043 eV per atom

a = 2.853 Å, b = 2.853 Å, c = 29.451 Å
α = 90.00°, β = 90.00°, γ = 120.00°
Positions (direct):
Mo1 0.000 0.000 0.000
Mo2 0.333 0.667 0.667
Mo3 0.667 0.333 0.333
As1 0.000 0.000 0.262
As2 0.000 0.000 0.471
As3 0.333 0.667 0.138
As4 0.333 0.667 0.929
As5 0.667 0.333 0.596
As6 0.667 0.333 0.805
Ru1 0.000 0.000 0.739
Ru2 0.333 0.667 0.406
Ru3 0.667 0.333 0.073


Record 12
Here is a crystal of MoAs2Ru relaxed with PBEsol from the Alexandria database. Energies are from SCAN.

ρ = 9.702 Mg/m³
Formation enthalpy at 0 K = 0.056 eV per atom

a = 7.887 Å, b = 2.958 Å, c = 5.216 Å
α = 90.00°, β = 102.63°, γ = 90.00°
Positions (direct):
Mo1 0.000 0.000 0.000
Mo2 0.500 0.500 0.000
As1 0.248 0.000 0.747
As2 0.252 0.500 0.253
As3 0.748 0.500 0.747
As4 0.752 0.000 0.253
Ru1 0.000 0.500 0.500
Ru2 0.500 0.000 0.500


Number 1: D(E_F) 3.6 states/eV/cell, electronic total energy -393.2 eV per cell. Number 2: D(E_F) 14.6 states/eV/cell, electronic total energy -640.0 eV per cell. Number 3: D(E_F) 3.7 states/eV/cell, electronic total energy -160.9 eV per cell. Number 4: D(E_F) 2.7 states/eV/cell, electronic total energy -109.6 eV per cell. Number 5: D(E_F) 2.6 states/eV/cell, electronic total energy -178.3 eV per cell. Number 6: D(E_F) 3.3 states/eV/cell, electronic total energy -150.1 eV per cell. Number 7: D(E_F) 3.1 states/eV/cell, electronic total energy -122.9 eV per cell. Number 8: D(E_F) 3.1 states/eV/cell, electronic total energy -123.2 eV per cell. Number 9: D(E_F) 2.5 states/eV/cell, electronic total energy -123.3 eV per cell. Number 10: D(E_F) 7.4 states/eV/cell, electronic total energy -492.3 eV per cell. Number 11: D(E_F) 8.4 states/eV/cell, electronic total energy -329.8 eV per cell. Number 12: D(E_F) 7.6 states/eV/cell, electronic total energy -219.7 eV per cell.